Material: HfScS3
Method: DFT, PBE-GGA
State: optimized geometry

a b c (Å): 6.2553 6.3359 6.3359
angles (deg): 120.00 90.00 90.00
Element x y z (fractional)
Hf 0.5000 0.6667 0.3333
Hf 0.0000 0.6667 0.3333
Sc 0.0000 0.0000 0.0000
Sc 0.5000 0.0000 0.0000
S 0.7500 0.3363 0.3183
S 0.7500 0.9820 0.6637
S 0.7500 0.6817 0.0180
S 0.2500 0.6817 0.6637
S 0.2500 0.3363 0.0180
S 0.2500 0.9820 0.3183

Calculated values
The crystal system is hexagonal. The calculation puts the excess energy over the best structure of this formula in the dataset at 0.04 eV/f.u. The value obtained for the raw formation energy is -1689 meV/atom. The calculation puts the density of states at the Fermi level at 2.54 states/eV/cell. The total energy is -74.2 eV per cell. As for the density: 4.9 g/cm³. As for the total magnetic moment: 0.000 μB per atom. As for the space group: P-6c2 (188).

---

Material: HfScS3
Method: DFT, PBE-GGA
State: optimized geometry

a b c (Å): 4.7648 4.7648 4.7648
angles (deg): 90.00 90.00 90.00
Element x y z (fractional)
Sc 0.0000 0.0000 0.0000
S 0.0000 0.5000 0.0000
S 0.0000 0.0000 0.5000
S 0.5000 0.0000 0.0000
Hf 0.5000 0.5000 0.5000

Calculated values
The crystal system is cubic. The calculation puts the excess energy over the best structure of this formula in the dataset at 5.98 eV/f.u. The value obtained for the raw formation energy is -500 meV/atom. The calculation puts the density of states at the Fermi level at 5.33 states/eV/cell. The total energy is -31.2 eV per cell. As for the density: 4.9 g/cm³. As for the total magnetic moment: 0.000 μB per atom. As for the space group: Pm-3m (221).

---

Material: HfSc3S
Method: DFT, PBE-GGA
State: optimized geometry

a b c (Å): 4.8552 4.8552 4.8552
angles (deg): 90.00 90.00 90.00
Element x y z (fractional)
Sc 0.0000 0.5000 0.0000
Sc 0.0000 0.0000 0.5000
Sc 0.5000 0.0000 0.0000
S 0.0000 0.0000 0.0000
Hf 0.5000 0.5000 0.5000

Calculated values
The crystal system is cubic. The calculation puts the excess energy over the best structure of this formula in the dataset at 0.00 eV/f.u. The value obtained for the raw formation energy is -470 meV/atom. The calculation puts the density of states at the Fermi level at 8.71 states/eV/cell. The total energy is -35.4 eV per cell. As for the density: 5.0 g/cm³. As for the total magnetic moment: 0.000 μB per atom. As for the space group: Pm-3m (221).

---

Material: Hf2ScS4
Method: DFT, PBE-GGA
State: optimized geometry

a b c (Å): 3.4976 6.1520 12.8162
angles (deg): 90.00 90.00 106.51
Element x y z (fractional)
Hf 0.1447 0.2894 0.4376
Hf 0.8553 0.7106 0.9376
Hf 0.1447 0.2894 0.0624
Hf 0.8553 0.7106 0.5624
Sc 0.6162 0.2324 0.7500
Sc 0.3838 0.7676 0.2500
S 0.7868 0.5737 0.1262
S 0.7868 0.5737 0.3738
S 0.2132 0.4263 0.8738
S 0.2132 0.4263 0.6262
S 0.9537 0.9073 0.7500
S 0.0463 0.0927 0.2500
S 0.5000 0.0000 0.0000
S 0.5000 0.0000 0.5000

Calculated values
The crystal system is orthorhombic. The calculation puts the excess energy over the best structure of this formula in the dataset at 0.00 eV/f.u. The value obtained for the raw formation energy is -1539 meV/atom. The calculation puts the density of states at the Fermi level at 6.78 states/eV/cell. The total energy is -107.0 eV per cell. As for the density: 6.7 g/cm³. As for the total magnetic moment: 0.000 μB per atom. As for the space group: Cmcm (63).